No. 1
Hg2NF2: optimized geometry, PBE-GGA.

Cell: 3.9347 6.1020 11.2622 Å, 99.27 99.45 108.77°
With the nearest neighbours (Å) after each atom.
Fractional coordinates of all 10 atoms:
Hg (0.0709, 0.2669, 0.3569)  1 F 2.19
Hg (0.1804, 0.1912, 0.6884)  1 F 2.16
Hg (0.8196, 0.8088, 0.3116)  1 F 2.16
Hg (0.9291, 0.7331, 0.6431)  1 F 2.19
N (0.0655, 0.5810, 0.0383)  1 N 1.11
N (0.9345, 0.4190, 0.9617)  1 N 1.11
F (0.2975, 0.6513, 0.4334)  1 Hg 2.19
F (0.4015, 0.5727, 0.7531)  1 Hg 2.16
F (0.5985, 0.4273, 0.2469)  1 Hg 2.16
F (0.7025, 0.3487, 0.5666)  1 Hg 2.19

Results
E_tot: -3.478 eV per atom
energy relative to the elements, uncorrected: -0.944 eV per atom
crystal system: triclinic
magnetic moment: 0.00 μB/f.u.
DOS at the Fermi energy: 0.0 states/eV/f.u.

=====

No. 2
HgN2F: optimized geometry, PBE-GGA.

Cell: 3.5312 3.5312 16.4301 Å, 90.00 90.00 120.00°
With the nearest neighbours (Å) after each atom.
Fractional coordinates of all 12 atoms:
Hg (0.0000, 0.0000, 0.0000)  6 N 2.25
Hg (0.3333, 0.6667, 0.6667)  6 N 2.25
Hg (0.6667, 0.3333, 0.3333)  6 N 2.25
N (0.0000, 0.0000, 0.3911)  1 F 1.79
N (0.0000, 0.0000, 0.6089)  1 F 1.79
N (0.3333, 0.6667, 0.0577)  1 F 1.79
N (0.3333, 0.6667, 0.2756)  1 F 1.79
N (0.6667, 0.3333, 0.7244)  1 F 1.79
N (0.6667, 0.3333, 0.9423)  1 F 1.79
F (0.0000, 0.0000, 0.5000)  2 N 1.79
F (0.3333, 0.6667, 0.1667)  2 N 1.79
F (0.6667, 0.3333, 0.8333)  2 N 1.79

Results
E_tot: -3.150 eV per atom
energy relative to the elements, uncorrected: 1.556 eV per atom
crystal system: trigonal
magnetic moment: 0.00 μB/f.u.
E above lowest polymorph: 1.952 eV per atom
DOS at the Fermi energy: 1.7 states/eV/f.u.

=====

No. 3
Hg3N2F2: optimized geometry, PBE-GGA.

Cell: 3.9721 6.1856 7.4235 Å, 69.61 85.29 74.72°
With the nearest neighbours (Å) after each atom.
Fractional coordinates of all 7 atoms:
Hg (0.0000, 0.0000, 0.0000)  2 N 3.03, 2 F 3.29
Hg (0.1292, 0.7872, 0.4847)  3 F 2.30-2.52
Hg (0.8708, 0.2128, 0.5153)  3 F 2.30-2.52
N (0.4839, 0.4229, 0.0641)  1 N 1.11
N (0.5161, 0.5771, 0.9359)  1 N 1.11
F (0.2912, 0.3796, 0.6298)  3 Hg 2.30-2.52
F (0.7088, 0.6204, 0.3702)  3 Hg 2.30-2.52

Results
E_tot: -3.649 eV per atom
energy relative to the elements, uncorrected: -0.607 eV per atom
crystal system: triclinic
magnetic moment: 0.00 μB/f.u.

=====

No. 4
HgNF5: optimized geometry, PBE-GGA.

Cell: 8.3633 5.8544 9.4809 Å, 90.00 90.00 90.00°
With the nearest neighbours (Å) after each atom.
Fractional coordinates of all 28 atoms:
Hg (0.1064, 0.2500, 0.0973)  2 F 1.99-2.00
Hg (0.3936, 0.7500, 0.5973)  2 F 1.99-2.00
Hg (0.6064, 0.2500, 0.4027)  2 F 1.99-2.00
Hg (0.8936, 0.7500, 0.9027)  2 F 1.99-2.00
N (0.9998, 0.2500, 0.6027)  3 F 1.40-1.42
N (0.0002, 0.7500, 0.3973)  3 F 1.40-1.42
N (0.4998, 0.2500, 0.8973)  3 F 1.40-1.42
N (0.5002, 0.7500, 0.1027)  3 F 1.40-1.42
F (0.0928, 0.7500, 0.0201)  1 Hg 2.00
F (0.0984, 0.2500, 0.7213)  1 N 1.40
F (0.1039, 0.5633, 0.3688)  1 N 1.42
F (0.1039, 0.9367, 0.3688)  1 N 1.42
F (0.1875, 0.7500, 0.7018)  1 Hg 1.99
F (0.3125, 0.2500, 0.2018)  1 Hg 1.99
F (0.3961, 0.0633, 0.8688)  1 N 1.42
F (0.3961, 0.4367, 0.8688)  1 N 1.42
F (0.4016, 0.7500, 0.2213)  1 N 1.40
F (0.4072, 0.2500, 0.5201)  1 Hg 2.00
F (0.5928, 0.7500, 0.4799)  1 Hg 2.00
F (0.5984, 0.2500, 0.7787)  1 N 1.40
F (0.6039, 0.5633, 0.1312)  1 N 1.42
F (0.6039, 0.9367, 0.1312)  1 N 1.42
F (0.6875, 0.7500, 0.7982)  1 Hg 1.99
F (0.8125, 0.2500, 0.2982)  1 Hg 1.99
F (0.8961, 0.0633, 0.6312)  1 N 1.42
F (0.8961, 0.4367, 0.6312)  1 N 1.42
F (0.9016, 0.7500, 0.2787)  1 N 1.40
F (0.9072, 0.2500, 0.9799)  1 Hg 2.00

Results
E_tot: -3.381 eV per atom
energy relative to the elements, uncorrected: -0.812 eV per atom
crystal system: orthorhombic
magnetic moment: 0.10 μB/f.u.
DOS at the Fermi energy: 0.0 states/eV/f.u.

=====

No. 5
HgN3F: optimized geometry, PBE-GGA.

Cell: 3.8385 3.8385 3.8385 Å, 90.00 90.00 90.00°
With the nearest neighbours (Å) after each atom.
Fractional coordinates of all 5 atoms:
Hg (0.0000, 0.0000, 0.0000)  12 N 2.71
N (0.0000, 0.5000, 0.5000)  2 F 1.92
N (0.5000, 0.0000, 0.5000)  2 F 1.92
N (0.5000, 0.5000, 0.0000)  2 F 1.92
F (0.5000, 0.5000, 0.5000)  6 N 1.92

Results
E_tot: -2.559 eV per atom
energy relative to the elements, uncorrected: 2.870 eV per atom
crystal system: cubic
magnetic moment: 3.99 μB/f.u.
DOS at the Fermi energy: 1.8 states/eV/f.u.

=====

No. 6
HgN2F: optimized geometry, PBE-GGA.

Cell: 3.1951 4.4646 7.8427 Å, 76.96 78.32 69.69°
With the nearest neighbours (Å) after each atom.
Fractional coordinates of all 4 atoms:
Hg (0.0000, 0.0000, 0.0000)  3 F 2.37-2.45
N (0.0472, 0.3362, 0.5360)  1 N 1.11
N (0.9642, 0.5843, 0.4563)  1 N 1.11
F (0.6971, 0.5658, 0.0011)  3 Hg 2.37-2.45

Results
E_tot: -5.103 eV per atom
energy relative to the elements, uncorrected: -0.397 eV per atom
crystal system: triclinic
magnetic moment: 0.00 μB/f.u.
E above lowest polymorph: 0.000 eV per atom
DOS at the Fermi energy: 0.8 states/eV/f.u.

=====

No. 7
HgNF: optimized geometry, PBE-GGA.

Cell: 3.7126 3.7946 10.7913 Å, 81.35 89.96 60.77°
With the nearest neighbours (Å) after each atom.
Fractional coordinates of all 6 atoms:
Hg (0.0000, 0.0000, 0.0000)  1 F 2.22
Hg (0.1163, 0.7774, 0.7764)  3 F 2.34-2.61
N (0.1644, 0.6724, 0.3350)  1 N 1.11
N (0.2786, 0.4484, 0.4246)  1 N 1.11
F (0.7275, 0.5521, 0.6741)  3 Hg 2.34-2.61
F (0.7379, 0.5249, 0.1028)  1 Hg 2.22

Results
E_tot: -4.180 eV per atom
energy relative to the elements, uncorrected: -0.681 eV per atom
crystal system: triclinic
magnetic moment: 0.00 μB/f.u.
E above lowest polymorph: 0.075 eV per atom

=====

No. 8
HgN3F: optimized geometry, PBE-GGA.

Cell: 4.2609 4.2609 4.2609 Å, 90.00 90.00 90.00°
With the nearest neighbours (Å) after each atom.
Fractional coordinates of all 5 atoms:
Hg (0.0000, 0.0000, 0.0000)  6 N 2.13
N (0.0000, 0.0000, 0.5000)  2 Hg 2.13
N (0.0000, 0.5000, 0.0000)  2 Hg 2.13
N (0.5000, 0.0000, 0.0000)  2 Hg 2.13
F (0.5000, 0.5000, 0.5000)  12 N 3.01

Results
E_tot: -2.844 eV per atom
energy relative to the elements, uncorrected: 2.586 eV per atom
crystal system: cubic
magnetic moment: 6.29 μB/f.u.
DOS at the Fermi energy: 1.0 states/eV/f.u.

=====

No. 9
HgNF: optimized geometry, PBE-GGA.

Cell: 7.7573 3.7706 11.1558 Å, 90.00 112.66 90.00°
With the nearest neighbours (Å) after each atom.
Fractional coordinates of all 12 atoms:
Hg (0.0374, 0.1559, 0.1109)  2 F 2.21-2.45
Hg (0.0374, 0.3441, 0.6109)  2 F 2.21-2.45
Hg (0.9626, 0.6559, 0.3891)  2 F 2.21-2.45
Hg (0.9626, 0.8441, 0.8891)  2 F 2.21-2.45
N (0.4398, 0.0043, 0.5154)  1 N 1.11
N (0.4398, 0.4957, 0.0154)  1 N 1.11
N (0.5602, 0.5043, 0.9846)  1 N 1.11
N (0.5602, 0.9957, 0.4846)  1 N 1.11
F (0.1497, 0.5786, 0.2573)  2 Hg 2.21-2.45
F (0.1497, 0.9214, 0.7573)  2 Hg 2.21-2.45
F (0.8503, 0.0786, 0.2427)  2 Hg 2.21-2.45
F (0.8503, 0.4214, 0.7427)  2 Hg 2.21-2.45

Results
E_tot: -4.256 eV per atom
energy relative to the elements, uncorrected: -0.756 eV per atom
crystal system: monoclinic
magnetic moment: 0.00 μB/f.u.
E above lowest polymorph: 0.000 eV per atom
DOS at the Fermi energy: 0.0 states/eV/f.u.

=====

No. 10
HgN2F3: optimized geometry, PBE-GGA.

Cell: 8.2268 8.2268 5.4340 Å, 93.06 93.06 35.03°
With the nearest neighbours (Å) after each atom.
Fractional coordinates of all 12 atoms:
Hg (0.2339, 0.7661, 0.7500)  2 N 2.22, 1 F 2.43
Hg (0.7661, 0.2339, 0.2500)  2 N 2.22, 1 F 2.43
N (0.0437, 0.6752, 0.7347)  1 F 1.35
N (0.3248, 0.9563, 0.7653)  1 F 1.35
N (0.6752, 0.0437, 0.2347)  1 F 1.35
N (0.9563, 0.3248, 0.2653)  1 F 1.35
F (0.2173, 0.4249, 0.8403)  1 N 1.35
F (0.2744, 0.7256, 0.2500)  4 Hg 2.43-2.72
F (0.4249, 0.2173, 0.3403)  1 N 1.35
F (0.5751, 0.7827, 0.6597)  1 N 1.35
F (0.7256, 0.2744, 0.7500)  4 Hg 2.43-2.72
F (0.7827, 0.5751, 0.1597)  1 N 1.35

Results
E_tot: -3.396 eV per atom
energy relative to the elements, uncorrected: 0.365 eV per atom
crystal system: monoclinic
magnetic moment: 3.00 μB/f.u.
DOS at the Fermi energy: 2.9 states/eV/f.u.

=====

No. 11
NaHgN2F: optimized geometry, PBE-GGA.

Cell: 4.1930 4.1930 5.0580 Å, 90.00 90.00 90.00°
With the nearest neighbours (Å) after each atom.
Fractional coordinates of all 5 atoms:
Na (0.0000, 0.0000, 0.0000)  4 F 2.96, 8 N 3.28
Hg (0.5000, 0.5000, 0.5000)  4 N 2.10
N (0.0000, 0.5000, 0.5000)  2 Hg 2.10
N (0.5000, 0.0000, 0.5000)  2 Hg 2.10
F (0.5000, 0.5000, 0.0000)  2 Hg 2.53

Results
E_tot: -3.223 eV per atom
energy relative to the elements, uncorrected: 0.806 eV per atom
crystal system: tetragonal
magnetic moment: 2.82 μB/f.u.
E above lowest polymorph: 0.000 eV per atom
DOS at the Fermi energy: 1.5 states/eV/f.u.

=====

No. 12
NaHgN2F: optimized geometry, PBE-GGA.

Cell: 4.6259 4.6259 4.0806 Å, 90.00 90.00 90.00°
With the nearest neighbours (Å) after each atom.
Fractional coordinates of all 5 atoms:
Na (0.0000, 0.0000, 0.0000)  2 F 2.04
Hg (0.5000, 0.5000, 0.5000)  8 N 3.08, 4 F 3.27
N (0.0000, 0.5000, 0.0000)  2 Na 2.31
N (0.5000, 0.0000, 0.0000)  2 Na 2.31
F (0.0000, 0.0000, 0.5000)  2 Na 2.04

Results
E_tot: -2.825 eV per atom
energy relative to the elements, uncorrected: 1.203 eV per atom
crystal system: tetragonal
magnetic moment: 4.54 μB/f.u.
E above lowest polymorph: 0.397 eV per atom
DOS at the Fermi energy: 2.7 states/eV/f.u.